(1)
A plane-wave DFT calculation with GGA-PBE was carried out for a geometry-optimized CdReAs2 structure.

Lattice parameters (Å, degrees): 2.742 4.779 5.552 90.00 90.00 90.00
Fractional coordinates of all 4 atoms:
Cd 0.000 0.000 0.000
Re 0.500 0.000 0.500
As 0.500 0.500 0.266
As 0.500 0.500 0.734



(2)
A plane-wave DFT calculation with GGA-PBE was carried out for a geometry-optimized CdReAs2 structure.

Lattice parameters (Å, degrees): 6.455 6.455 6.455 153.17 135.19 53.00
Fractional coordinates of all 4 atoms:
Cd 0.000 0.000 0.000
Re 0.500 0.500 0.000
As 0.326 0.826 0.500
As 0.674 0.174 0.500



(3)
A plane-wave DFT calculation with GGA-PBE was carried out for a geometry-optimized CdReAs structure.

Values from the calculation:
ΔE to the lowest computed polymorph   0.0000 eV per atom

Lattice parameters (Å, degrees): 3.053 3.053 6.969 90.00 90.00 120.00
Fractional coordinates of all 3 atoms:
Cd 0.000 0.000 0.000
Re 0.667 0.333 0.340
As 0.333 0.667 0.590



(4)
A plane-wave DFT calculation with GGA-PBE was carried out for a geometry-optimized CdReAs structure.

Values from the calculation:
ΔE to the lowest computed polymorph   0.3685 eV per atom

Lattice parameters (Å, degrees): 4.736 4.736 2.702 90.00 90.00 120.00
Fractional coordinates of all 3 atoms:
Cd 0.000 0.000 0.000
Re 0.333 0.667 0.500
As 0.667 0.333 0.500



(5)
A plane-wave DFT calculation with GGA-PBE was carried out for a geometry-optimized CdReAs2 structure.

Lattice parameters (Å, degrees): 9.990 9.990 9.990 17.37 17.37 17.37
Fractional coordinates of all 4 atoms:
Cd 0.000 0.000 0.000
Re 0.749 0.749 0.749
As 0.250 0.250 0.250
As 0.477 0.477 0.477



(6)
A plane-wave DFT calculation with GGA-PBE was carried out for a geometry-optimized CdReAs2 structure.

Lattice parameters (Å, degrees): 2.942 2.942 10.680 90.00 90.00 118.45
Fractional coordinates of all 4 atoms:
Cd 0.000 0.000 0.000
Re 0.000 0.000 0.500
As 0.500 0.500 0.307
As 0.500 0.500 0.693



(7)
A plane-wave DFT calculation with GGA-PBE was carried out for a geometry-optimized CdReAs2 structure.

Lattice parameters (Å, degrees): 3.178 3.193 8.214 90.00 90.00 90.00
Fractional coordinates of all 4 atoms:
Cd 0.000 0.000 0.000
Re 0.500 0.500 0.527
As 0.000 0.000 0.667
As 0.500 0.500 0.239



(8)
A plane-wave DFT calculation with GGA-PBE was carried out for a geometry-optimized CdReAs2 structure.

Lattice parameters (Å, degrees): 2.950 2.950 10.270 90.00 90.00 116.14
Fractional coordinates of all 4 atoms:
Cd 0.000 0.000 0.000
Re 0.500 0.500 0.240
As 0.000 0.000 0.422
As 0.500 0.500 0.762



(9)
A plane-wave DFT calculation with GGA-PBE was carried out for a geometry-optimized Cd4ReAs structure.

Lattice parameters (Å, degrees): 5.537 5.537 5.537 60.00 60.00 60.00
Fractional coordinates of all 6 atoms:
Cd 0.124 0.124 0.124
Cd 0.124 0.124 0.627
Cd 0.124 0.627 0.124
Cd 0.627 0.124 0.124
Re 0.750 0.750 0.750
As 0.500 0.500 0.500



(10)
A plane-wave DFT calculation with GGA-PBE was carried out for a geometry-optimized CdReAs2 structure.

Lattice parameters (Å, degrees): 4.507 4.507 5.546 98.84 98.84 42.05
Fractional coordinates of all 4 atoms:
Cd 0.000 0.000 0.000
Re 0.500 0.500 0.500
As 0.223 0.223 0.698
As 0.777 0.777 0.302



(11)
A plane-wave DFT calculation with GGA-PBE was carried out for a geometry-optimized CdReAs2 structure.

Lattice parameters (Å, degrees): 4.656 4.656 4.656 60.00 60.00 60.00
Fractional coordinates of all 4 atoms:
Cd 0.000 0.000 0.000
Re 0.750 0.750 0.750
As 0.250 0.250 0.250
As 0.500 0.500 0.500



(12)
A plane-wave DFT calculation with GGA-PBE was carried out for a geometry-optimized Cd2ReSbAs structure.

Values from the calculation:
Raw formation energy   21.76 kcal/mol of atoms

Lattice parameters (Å, degrees): 5.332 5.332 5.013 90.00 90.00 90.00
Fractional coordinates of all 5 atoms:
Cd 0.000 0.500 0.000
Cd 0.500 0.000 0.000
Re 0.000 0.000 0.000
Sb 0.000 0.000 0.500
As 0.500 0.500 0.500



(13)
A plane-wave DFT calculation with GGA-PBE was carried out for a geometry-optimized CdReAs2Se structure.

Values from the calculation:
ΔE to the lowest computed polymorph   0.0000 eV per atom
Raw formation energy   11.01 kcal/mol of atoms

Lattice parameters (Å, degrees): 4.714 4.714 5.537 90.00 90.00 90.00
Fractional coordinates of all 5 atoms:
Cd 0.000 0.000 0.000
Re 0.500 0.500 0.500
As 0.000 0.500 0.500
As 0.500 0.000 0.500
Se 0.500 0.500 0.000



(14)
A plane-wave DFT calculation with GGA-PBE was carried out for a geometry-optimized TaCdRe2As structure.

Lattice parameters (Å, degrees): 4.794 4.794 5.231 90.00 90.00 90.00
Fractional coordinates of all 5 atoms:
Ta 0.000 0.000 0.000
Cd 0.000 0.000 0.500
Re 0.000 0.500 0.000
Re 0.500 0.000 0.000
As 0.500 0.500 0.500



(15)
A plane-wave DFT calculation with GGA-PBE was carried out for a geometry-optimized CdRe2TcAs structure.

Lattice parameters (Å, degrees): 4.902 4.902 4.713 90.00 90.00 90.00
Fractional coordinates of all 5 atoms:
Cd 0.000 0.000 0.000
Re 0.000 0.500 0.000
Re 0.500 0.000 0.000
Tc 0.500 0.500 0.500
As 0.000 0.000 0.500



(16)
A plane-wave DFT calculation with GGA-PBE was carried out for a geometry-optimized CdReTe2As structure.

Values from the calculation:
Raw formation energy   19.65 kcal/mol of atoms

Lattice parameters (Å, degrees): 5.122 5.122 5.315 90.00 90.00 90.00
Fractional coordinates of all 5 atoms:
Cd 0.000 0.000 0.000
Re 0.000 0.000 0.500
Te 0.000 0.500 0.500
Te 0.500 0.000 0.500
As 0.500 0.500 0.000



(17)
A plane-wave DFT calculation with GGA-PBE was carried out for a geometry-optimized TiCd2ReAs structure.

Lattice parameters (Å, degrees): 5.280 5.280 4.567 90.00 90.00 90.00
Fractional coordinates of all 5 atoms:
Ti 0.000 0.000 0.000
Cd 0.000 0.500 0.500
Cd 0.500 0.000 0.500
Re 0.000 0.000 0.500
As 0.500 0.500 0.000



(18)
A plane-wave DFT calculation with GGA-PBE was carried out for a geometry-optimized TiCdRe2As structure.

Lattice parameters (Å, degrees): 4.859 4.859 4.773 90.00 90.00 90.00
Fractional coordinates of all 5 atoms:
Ti 0.000 0.000 0.000
Cd 0.000 0.000 0.500
Re 0.000 0.500 0.500
Re 0.500 0.000 0.500
As 0.500 0.500 0.000



(19)
A plane-wave DFT calculation with GGA-PBE was carried out for a geometry-optimized VCdReAs2 structure.

Lattice parameters (Å, degrees): 4.659 4.659 4.744 90.00 90.00 90.00
Fractional coordinates of all 5 atoms:
V 0.000 0.000 0.000
Cd 0.500 0.500 0.500
Re 0.000 0.000 0.500
As 0.000 0.500 0.000
As 0.500 0.000 0.000



(20)
A plane-wave DFT calculation with GGA-PBE was carried out for a geometry-optimized Cd2AsRh structure.

Lattice parameters (Å, degrees): 3.086 5.065 4.788 90.00 91.16 90.00
Fractional coordinates of all 4 atoms:
Cd 0.243 0.000 0.256
Cd 0.757 0.000 0.744
As 0.000 0.500 0.000
Rh 0.500 0.500 0.500



(21)
A plane-wave DFT calculation with GGA-PBE was carried out for a geometry-optimized Cd2AsRh structure.

Lattice parameters (Å, degrees): 4.710 4.710 4.710 60.00 60.00 60.00
Fractional coordinates of all 4 atoms:
Cd 0.000 0.000 0.000
Cd 0.250 0.250 0.250
As 0.500 0.500 0.500
Rh 0.750 0.750 0.750



(22)
A plane-wave DFT calculation with GGA-PBE was carried out for a geometry-optimized Cd3AsRh structure.

Values from the calculation:
ΔE to the lowest computed polymorph   0.3265 eV per atom

Lattice parameters (Å, degrees): 5.076 5.076 5.076 90.00 90.00 90.00
Fractional coordinates of all 5 atoms:
Cd 0.000 0.000 0.500
Cd 0.000 0.500 0.000
Cd 0.500 0.000 0.000
As 0.000 0.000 0.000
Rh 0.500 0.500 0.500



(23)
A plane-wave DFT calculation with GGA-PBE was carried out for a geometry-optimized Cd2AsRh structure.

Lattice parameters (Å, degrees): 5.026 5.026 3.153 90.00 90.00 112.39
Fractional coordinates of all 4 atoms:
Cd 0.000 0.500 0.000
Cd 0.500 0.000 0.000
As 0.000 0.000 0.500
Rh 0.500 0.500 0.500



(24)
A plane-wave DFT calculation with GGA-PBE was carried out for a geometry-optimized CdAsRh structure.

Lattice parameters (Å, degrees): 3.252 3.252 6.384 90.00 90.00 120.00
Fractional coordinates of all 3 atoms:
Cd 0.000 0.000 0.000
As 0.000 0.000 0.572
Rh 0.333 0.667 0.337



(25)
A plane-wave DFT calculation with GGA-PBE was carried out for a geometry-optimized Cd2AsRh structure.

Lattice parameters (Å, degrees): 6.413 6.413 6.413 152.46 137.72 51.20
Fractional coordinates of all 4 atoms:
Cd 0.000 0.000 0.000
Cd 0.683 0.183 0.500
As 0.378 0.378 0.000
Rh 0.212 0.712 0.500



(26)
A plane-wave DFT calculation with GGA-PBE was carried out for a geometry-optimized Cd2AsRh structure.

Lattice parameters (Å, degrees): 3.073 3.073 8.276 90.00 90.00 90.00
Fractional coordinates of all 4 atoms:
Cd 0.000 0.000 0.000
Cd 0.500 0.500 0.286
As 0.500 0.500 0.688
Rh 0.000 0.000 0.526



(27)
A plane-wave DFT calculation with GGA-PBE was carried out for a geometry-optimized CdAsRh structure.

Lattice parameters (Å, degrees): 6.629 6.629 6.629 28.65 28.65 28.65
Fractional coordinates of all 3 atoms:
Cd 0.000 0.000 0.000
As 0.856 0.856 0.856
Rh 0.446 0.446 0.446



(28)
A plane-wave DFT calculation with GGA-PBE was carried out for a geometry-optimized CdAsRh structure.

Lattice parameters (Å, degrees): 4.273 4.273 3.447 90.00 90.00 120.00
Fractional coordinates of all 3 atoms:
Cd 0.000 0.000 0.000
As 0.333 0.667 0.500
Rh 0.667 0.333 0.500



(29)
A plane-wave DFT calculation with GGA-PBE was carried out for a geometry-optimized Cd2AsRh structure.

Lattice parameters (Å, degrees): 9.179 9.179 9.179 20.26 20.26 20.26
Fractional coordinates of all 4 atoms:
Cd 0.000 0.000 0.000
Cd 0.234 0.234 0.234
As 0.763 0.763 0.763
Rh 0.487 0.487 0.487



(30)
A plane-wave DFT calculation with GGA-PBE was carried out for a geometry-optimized Cd2AsRh structure.

Lattice parameters (Å, degrees): 3.060 3.060 8.225 90.00 90.00 90.00
Fractional coordinates of all 4 atoms:
Cd 0.000 0.000 0.219
Cd 0.000 0.000 0.781
As 0.500 0.500 0.500
Rh 0.500 0.500 0.000



Number 1: total DFT energy (no corrections) -5.1837 eV/atom. Number 2: total DFT energy (no corrections) -5.3761 eV/atom. Number 3: total DFT energy (no corrections) -5.7728 eV/atom. Number 4: total DFT energy (no corrections) -5.4043 eV/atom. Number 5: total DFT energy (no corrections) -5.3031 eV/atom. Number 6: total DFT energy (no corrections) -5.3523 eV/atom. Number 7: total DFT energy (no corrections) -5.3730 eV/atom. Number 8: total DFT energy (no corrections) -5.2202 eV/atom. Number 9: total DFT energy (no corrections) -2.6631 eV/atom. Number 10: total DFT energy (no corrections) -5.3247 eV/atom. Number 11: total DFT energy (no corrections) -4.7569 eV/atom. Number 12: total DFT energy (no corrections) -3.6663 eV/atom. Number 13: total DFT energy (no corrections) -4.7520 eV/atom. Number 14: total DFT energy (no corrections) -6.3854 eV/atom. Number 15: total DFT energy (no corrections) -5.1690 eV/atom. Number 16: total DFT energy (no corrections) -4.0069 eV/atom. Number 17: total DFT energy (no corrections) -4.3632 eV/atom. Number 18: total DFT energy (no corrections) -5.2308 eV/atom. Number 19: total DFT energy (no corrections) -5.4832 eV/atom. Number 20: total DFT energy (no corrections) -3.3479 eV/atom. Number 21: total DFT energy (no corrections) -3.3348 eV/atom. Number 22: total DFT energy (no corrections) -2.1120 eV/atom. Number 23: total DFT energy (no corrections) -3.4071 eV/atom. Number 24: total DFT energy (no corrections) -4.5921 eV/atom. Number 25: total DFT energy (no corrections) -3.6063 eV/atom. Number 26: total DFT energy (no corrections) -3.6216 eV/atom. Number 27: total DFT energy (no corrections) -4.5989 eV/atom. Number 28: total DFT energy (no corrections) -4.3869 eV/atom. Number 29: total DFT energy (no corrections) -3.6141 eV/atom. Number 30: total DFT energy (no corrections) -3.4002 eV/atom.